No. 1
The following is a PBE-GGA calculation of a relaxed MgFeHIr2 crystal, from the Alexandria database.

Computed properties:
The space group is P4/mmm, No. 123. The calculation puts the total magnetization at 3.37 μB per cell. Its volume is 60 Å³/cell. Its mass density is 12.86 g cm⁻³. Its total energy is -31.277 eV per cell.

abc: 4.0072 4.0072 3.7439
angles: 90.00 90.00 90.00
Element x y z (fractional)
Mg 0.0000 0.0000 0.0000
Fe 0.5000 0.5000 0.0000
H 0.5000 0.5000 0.5000
Ir 0.0000 0.5000 0.5000
Ir 0.5000 0.0000 0.5000

---

No. 2
The following is a PBE-GGA calculation of a relaxed MnFeHIr2 crystal, from the Alexandria database.

Computed properties:
The space group is P4/mmm, No. 123. The calculation puts the total magnetization at 2.92 μB per cell. Its volume is 55 Å³/cell. Its mass density is 15.10 g cm⁻³. Its total energy is -38.276 eV per cell.

abc: 3.8210 3.8210 3.7372
angles: 90.00 90.00 90.00
Element x y z (fractional)
Mn 0.0000 0.0000 0.0000
Fe 0.5000 0.5000 0.0000
H 0.0000 0.0000 0.5000
Ir 0.0000 0.5000 0.5000
Ir 0.5000 0.0000 0.5000

---

No. 3
The following is a PBE-GGA calculation of a relaxed MnFeHIr2 crystal, from the Alexandria database.

Computed properties:
The space group is P4/mmm, No. 123. The calculation puts the total magnetization at 0.51 μB per cell. Its volume is 56 Å³/cell. Its mass density is 14.60 g cm⁻³. Its total energy is -38.808 eV per cell.

abc: 3.9052 3.9052 3.7014
angles: 90.00 90.00 90.00
Element x y z (fractional)
Mn 0.0000 0.0000 0.0000
Fe 0.5000 0.5000 0.0000
H 0.5000 0.5000 0.5000
Ir 0.0000 0.5000 0.5000
Ir 0.5000 0.0000 0.5000

---

Q: Look up the total magnetization of the third one.
A: 0.51 μB per cell